Record 1
Crystalline Tb3Y6Tm2 at its relaxed geometry. Source: Alexandria via LeMat-Bulk, functional PBE-GGA.

Results
- Symmetry: R-3m, No. 166
- Raw total energy: -5.5771 eV per atom

a = 31.9040 Å, b = 31.9040 Å, c = 31.9040 Å
α = 6.39°, β = 6.39°, γ = 6.39°
Atoms (fractional coordinates):
1 Tb 0.0000 0.0000 0.0000
2 Tb 0.2725 0.2725 0.2725
3 Tb 0.7275 0.7275 0.7275
4 Y 0.0913 0.0913 0.0913
5 Y 0.1820 0.1820 0.1820
6 Y 0.3637 0.3637 0.3637
7 Y 0.6363 0.6363 0.6363
8 Y 0.8180 0.8180 0.8180
9 Y 0.9087 0.9087 0.9087
10 Tm 0.4546 0.4546 0.4546
11 Tm 0.5454 0.5454 0.5454

***

Record 2
Crystalline Tb3YTm4 at its relaxed geometry. Source: Alexandria via LeMat-Bulk, functional PBE-GGA.

Results
- Energy above the most stable polymorph in this dataset: 134.5 kJ/mol of formula units
- Symmetry: Immm, No. 71
- Raw total energy: -4.6041 eV per atom

a = 3.4654 Å, b = 6.5868 Å, c = 22.4025 Å
α = 90.00°, β = 90.00°, γ = 90.00°
Atoms (fractional coordinates):
1 Tb 0.0000 0.0000 0.0000
2 Tb 0.0000 0.0000 0.2385
3 Tb 0.0000 0.0000 0.7615
4 Tb 0.5000 0.5000 0.2615
5 Tb 0.5000 0.5000 0.5000
6 Tb 0.5000 0.5000 0.7385
7 Y 0.0000 0.0000 0.5000
8 Y 0.5000 0.5000 0.0000
9 Tm 0.0000 0.2555 0.3753
10 Tm 0.0000 0.2555 0.6247
11 Tm 0.0000 0.7445 0.3753
12 Tm 0.0000 0.7445 0.6247
13 Tm 0.5000 0.2445 0.1247
14 Tm 0.5000 0.2445 0.8753
15 Tm 0.5000 0.7555 0.1247
16 Tm 0.5000 0.7555 0.8753

***

Record 3
Crystalline TbY8Tm5 at its relaxed geometry. Source: Alexandria via LeMat-Bulk, functional PBE-GGA.

Results
- Symmetry: I-4, No. 82
- Raw total energy: -5.3681 eV per atom

a = 8.4133 Å, b = 8.4133 Å, c = 8.4133 Å
α = 111.12°, β = 111.12°, γ = 106.22°
Atoms (fractional coordinates):
1 Tb 0.0000 0.0000 0.0000
2 Y 0.0841 0.3238 0.4136
3 Y 0.1687 0.4171 0.8933
4 Y 0.3295 0.9159 0.2397
5 Y 0.5238 0.2754 0.1067
6 Y 0.5829 0.4762 0.7516
7 Y 0.6762 0.0898 0.7603
8 Y 0.7246 0.8313 0.2484
9 Y 0.9102 0.6705 0.5864
10 Tm 0.2136 0.0338 0.5997
11 Tm 0.3861 0.7864 0.8202
12 Tm 0.4341 0.6139 0.4003
13 Tm 0.7500 0.2500 0.5000
14 Tm 0.9662 0.5659 0.1798

***

Record 4
Crystalline Tb2YTm6 at its relaxed geometry. Source: Alexandria via LeMat-Bulk, functional PBE-GGA.

Results
- Energy above the most stable polymorph in this dataset: 0.0 kJ/mol of formula units
- Symmetry: C2/c, No. 15
- Raw total energy: -4.6218 eV per atom

a = 9.4585 Å, b = 9.4585 Å, c = 6.4791 Å
α = 99.34°, β = 99.34°, γ = 96.14°
Atoms (fractional coordinates):
1 Tb 0.1180 0.1662 0.3704
2 Tb 0.1662 0.1180 0.8704
3 Tb 0.8338 0.8820 0.1296
4 Tb 0.8820 0.8338 0.6296
5 Y 0.3812 0.6188 0.7500
6 Y 0.6188 0.3812 0.2500
7 Tm 0.0381 0.4389 0.7287
8 Tm 0.1485 0.7771 0.9966
9 Tm 0.2229 0.8515 0.5034
10 Tm 0.2764 0.4553 0.1849
11 Tm 0.4389 0.0381 0.2287
12 Tm 0.4553 0.2764 0.6849
13 Tm 0.5447 0.7236 0.3151
14 Tm 0.5611 0.9619 0.7713
15 Tm 0.7236 0.5447 0.8151
16 Tm 0.7771 0.1485 0.4966
17 Tm 0.8515 0.2229 0.0034
18 Tm 0.9619 0.5611 0.2713

***

Record 5
Crystalline Tb7YTm2 at its relaxed geometry. Source: Alexandria via LeMat-Bulk, functional PBE-GGA.

Results
- Energy above the most stable polymorph in this dataset: 645.2 kJ/mol of formula units
- Symmetry: Cmmm, No. 65
- Raw total energy: -4.0948 eV per atom

a = 9.3066 Å, b = 9.3066 Å, c = 5.4814 Å
α = 90.00°, β = 90.00°, γ = 124.19°
Atoms (fractional coordinates):
1 Tb 0.0000 0.0000 0.0000
2 Tb 0.2096 0.4353 0.0000
3 Tb 0.2916 0.7084 0.5000
4 Tb 0.4353 0.2096 0.0000
5 Tb 0.5647 0.7904 0.0000
6 Tb 0.7084 0.2916 0.5000
7 Tb 0.7904 0.5647 0.0000
8 Y 0.5000 0.5000 0.5000
9 Tm 0.2036 0.7964 0.0000
10 Tm 0.7964 0.2036 0.0000

***

Record 6
Crystalline Tb3Y4Tm4 at its relaxed geometry. Source: Alexandria via LeMat-Bulk, functional PBE-GGA.

Results
- Energy above the most stable polymorph in this dataset: 0.0 kJ/mol of formula units
- Symmetry: C2/m, No. 12
- Raw total energy: -5.2154 eV per atom

a = 19.7168 Å, b = 19.7168 Å, c = 4.9984 Å
α = 97.28°, β = 97.28°, γ = 10.29°
Atoms (fractional coordinates):
1 Tb 0.0000 0.0000 0.0000
2 Tb 0.3634 0.3634 0.3639
3 Tb 0.6366 0.6366 0.6361
4 Y 0.1824 0.1824 0.1821
5 Y 0.4541 0.4541 0.4546
6 Y 0.5459 0.5459 0.5454
7 Y 0.8176 0.8176 0.8179
8 Tm 0.0914 0.0914 0.0908
9 Tm 0.2723 0.2723 0.2724
10 Tm 0.7277 0.7277 0.7276
11 Tm 0.9086 0.9086 0.9092

***

Record 7
Crystalline Tb2Y5Tm4 at its relaxed geometry. Source: Alexandria via LeMat-Bulk, functional PBE-GGA.

Results
- Energy above the most stable polymorph in this dataset: 114.9 kJ/mol of formula units
- Symmetry: Immm, No. 71
- Raw total energy: -5.1984 eV per atom

a = 12.4841 Å, b = 12.4841 Å, c = 12.4841 Å
α = 163.95°, β = 137.81°, γ = 45.42°
Atoms (fractional coordinates):
1 Tb 0.2310 0.2310 0.0000
2 Tb 0.7690 0.7690 0.0000
3 Y 0.1583 0.3562 0.8021
4 Y 0.4459 0.6438 0.8021
5 Y 0.5000 0.0000 0.5000
6 Y 0.5541 0.3562 0.1979
7 Y 0.8417 0.6438 0.1979
8 Tm 0.0964 0.0964 0.0000
9 Tm 0.1873 0.5000 0.6873
10 Tm 0.8127 0.5000 0.3127
11 Tm 0.9036 0.9036 0.0000

***

Record 8
Crystalline Tb4Y5Tm at its relaxed geometry. Source: Alexandria via LeMat-Bulk, functional PBE-GGA.

Results
- Energy above the most stable polymorph in this dataset: 196.3 kJ/mol of formula units
- Symmetry: I4, No. 79
- Raw total energy: -5.2245 eV per atom

a = 7.8987 Å, b = 7.8987 Å, c = 7.8987 Å
α = 98.97°, β = 98.97°, γ = 133.48°
Atoms (fractional coordinates):
1 Tb 0.0466 0.6516 0.6982
2 Tb 0.3484 0.0466 0.3950
3 Tb 0.6516 0.9534 0.6050
4 Tb 0.9534 0.3484 0.3018
5 Y 0.2660 0.3480 0.6197
6 Y 0.3480 0.7283 0.0821
7 Y 0.6463 0.2660 0.9179
8 Y 0.7283 0.6463 0.3803
9 Y 0.7712 0.7712 0.0000
10 Tm 0.2340 0.2340 0.0000

***

| no. | energy relative to the elements (eV per atom) |
| --- | --- |
| 1 | 0.02 |
| 2 | 0.18 |
| 3 | 0.25 |
| 4 | 0.11 |
| 5 | 0.69 |
| 6 | 0.02 |
| 7 | 0.21 |
| 8 | 0.31 |